DFT (PBE-GGA) results for a relaxed structure of Li2Y2Mg15.

Cell lengths 10.2089, 10.2089, 15.1320 Å; angles 90.00, 90.00, 120.00 degrees
Space group R-3m (No. 166, hexagonal axes)
Inequivalent atoms, fractional coordinates:
Li 0.0000 0.0000 0.0972 [6 per cell]
Y 0.0000 0.0000 0.3319 [6 per cell]
Mg 0.0000 0.3099 0.0000 [18 per cell]
Mg 0.0000 0.5000 0.5000 [9 per cell]
Mg 0.0066 0.5033 0.1542 [18 per cell]

The calculation puts the formation energy at -15 meV/atom. As for the density: 2.03 g cm⁻³. As for the electronic total energy: -2.155 eV per atom.



DFT (PBE-GGA) results for a relaxed structure of Li4YMg8.

Cell lengths 5.9592, 5.9592, 30.9793 Å; angles 90.00, 90.00, 120.00 degrees
Space group R-3m (No. 166, hexagonal axes)
Inequivalent atoms, fractional coordinates:
Li 0.0000 0.0000 0.0000 [3 per cell]
Li 0.0000 0.5000 0.0000 [9 per cell]
Y 0.0000 0.0000 0.5000 [3 per cell]
Mg 0.0000 0.0000 0.1895 [6 per cell]
Mg 0.0039 0.5020 0.7481 [18 per cell]

The calculation puts the formation energy at 107 meV/atom. As for the density: 1.63 g cm⁻³. As for the electronic total energy: -1.960 eV per atom.



DFT (PBE-GGA) results for a relaxed structure of LiYMg2.

Cell lengths 11.146, 3.811, 5.294 Å; angles 90.00, 118.24, 90.00 degrees
Space group Cm (No. 8)
Inequivalent atoms, fractional coordinates:
Li 0.000 0.000 0.000 [2 per cell]
Y 0.235 0.000 0.735 [2 per cell]
Mg 0.219 0.500 0.218 [2 per cell]
Mg 0.462 0.000 0.463 [2 per cell]

The calculation puts the formation energy at 15 meV/atom. As for the density: 2.42 g cm⁻³. The energy above the most stable polymorph in this dataset comes out at 0.073 eV per atom. As for the electronic total energy: -2.877 eV per atom.



DFT (PBE-GGA) results for a relaxed structure of LiYMg2.

Cell lengths 7.315, 7.315, 7.315 Å; angles 90.00, 90.00, 90.00 degrees
Space group Fm-3m (No. 225)
Inequivalent atoms, fractional coordinates:
Li 0.000 0.000 0.000 [4 per cell]
Y 0.000 0.000 0.500 [4 per cell]
Mg 0.250 0.250 0.250 [8 per cell]

The calculation puts the formation energy at 8 meV/atom. As for the density: 2.45 g cm⁻³. The energy above the most stable polymorph in this dataset comes out at 0.066 eV per atom. As for the electronic total energy: -2.884 eV per atom.



DFT (PBE-GGA) results for a relaxed structure of LiYMg.

Cell lengths 3.3997, 3.3997, 7.7953 Å; angles 90.00, 90.00, 120.00 degrees
Space group P3m1 (No. 156)
Inequivalent atoms, fractional coordinates:
Li 0.0000 0.0000 0.0000 [1 per cell]
Y 0.3333 0.6667 0.6508 [1 per cell]
Mg 0.6667 0.3333 0.3024 [1 per cell]

The calculation puts the formation energy at 84 meV/atom. As for the density: 2.56 g cm⁻³. The energy above the most stable polymorph in this dataset comes out at 0.123 eV per atom. As for the electronic total energy: -3.240 eV per atom.



DFT (PBE-GGA) results for a relaxed structure of Li4YMg15.

Cell lengths 4.505, 4.505, 22.353 Å; angles 90.00, 90.00, 90.00 degrees
Space group P4/mmm (No. 123)
Inequivalent atoms, fractional coordinates:
Li 0.000 0.000 0.096 [2 per cell]
Li 0.000 0.000 0.296 [2 per cell]
Y 0.000 0.000 0.500 [1 per cell]
Mg 0.000 0.500 0.000 [2 per cell]
Mg 0.000 0.500 0.195 [4 per cell]
Mg 0.000 0.500 0.392 [4 per cell]
Mg 0.500 0.500 0.098 [2 per cell]
Mg 0.500 0.500 0.292 [2 per cell]
Mg 0.500 0.500 0.500 [1 per cell]

The calculation puts the formation energy at -40 meV/atom. As for the density: 1.76 g cm⁻³. As for the electronic total energy: -1.942 eV per atom.



DFT (PBE-GGA) results for a relaxed structure of Li8YMg3.

Cell lengths 5.6152, 5.6152, 9.1138 Å; angles 90.00, 90.00, 120.00 degrees
Space group P3m1 (No. 156)
Inequivalent atoms, fractional coordinates:
Li 0.0000 0.0000 0.0000 [1 per cell]
Li 0.0000 0.0000 0.4919 [1 per cell]
Li 0.1728 0.3455 0.2580 [3 per cell]
Li 0.3398 0.1699 0.7437 [3 per cell]
Y 0.6667 0.3333 0.0629 [1 per cell]
Mg 0.3333 0.6667 0.5672 [1 per cell]
Mg 0.3333 0.6667 0.9335 [1 per cell]
Mg 0.6667 0.3333 0.4387 [1 per cell]

The calculation puts the formation energy at 13 meV/atom. As for the density: 1.45 g cm⁻³. As for the electronic total energy: -2.200 eV per atom.



DFT (PBE-GGA) results for a relaxed structure of LiYMg4.

Cell lengths 8.453, 8.453, 8.453 Å; angles 90.00, 90.00, 90.00 degrees
Space group F-43m (No. 216)
Inequivalent atoms, fractional coordinates:
Li 0.000 0.000 0.000 [4 per cell]
Y 0.250 0.250 0.250 [4 per cell]
Mg 0.125 0.125 0.625 [16 per cell]

The calculation puts the formation energy at 16 meV/atom. As for the density: 2.12 g cm⁻³. The energy above the most stable polymorph in this dataset comes out at 0.082 eV per atom. As for the electronic total energy: -2.443 eV per atom.



DFT (PBE-GGA) results for a relaxed structure of Li2Y3Mg7.

Cell lengths 6.0319, 6.0319, 28.2056 Å; angles 90.00, 90.00, 120.00 degrees
Space group R-3m (No. 166, hexagonal axes)
Inequivalent atoms, fractional coordinates:
Li 0.0000 0.0000 0.1661 [6 per cell]
Y 0.0000 0.0000 0.3604 [6 per cell]
Y 0.0000 0.0000 0.5000 [3 per cell]
Mg 0.0000 0.0000 0.0000 [3 per cell]
Mg 0.0046 0.5023 0.4195 [18 per cell]

The calculation puts the formation energy at -39 meV/atom. As for the density: 2.53 g cm⁻³. The energy above the most stable polymorph in this dataset comes out at 0.000 eV per atom. As for the electronic total energy: -2.904 eV per atom.



DFT (PBE-GGA) results for a relaxed structure of Li4YMg5.

Cell lengths 3.496, 3.496, 17.848 Å; angles 90.00, 90.00, 90.00 degrees
Space group P4/mmm (No. 123)
Inequivalent atoms, fractional coordinates:
Li 0.000 0.000 0.093 [2 per cell]
Li 0.000 0.000 0.281 [2 per cell]
Y 0.000 0.000 0.500 [1 per cell]
Mg 0.500 0.500 0.000 [1 per cell]
Mg 0.500 0.500 0.186 [2 per cell]
Mg 0.500 0.500 0.374 [2 per cell]

The calculation puts the formation energy at -60 meV/atom. As for the density: 1.81 g cm⁻³. As for the electronic total energy: -2.270 eV per atom.



DFT (PBE-GGA) results for a relaxed structure of LiYMg.

Cell lengths 7.288, 7.288, 7.288 Å; angles 90.00, 90.00, 90.00 degrees
Space group F-43m (No. 216)
Inequivalent atoms, fractional coordinates:
Li 0.000 0.000 0.000 [4 per cell]
Y 0.250 0.250 0.750 [4 per cell]
Mg 0.000 0.000 0.500 [4 per cell]

The calculation puts the formation energy at 646 meV/atom. As for the density: 2.06 g cm⁻³. The energy above the most stable polymorph in this dataset comes out at 0.685 eV per atom. As for the electronic total energy: -2.678 eV per atom.



DFT (PBE-GGA) results for a relaxed structure of LiYMg.

Cell lengths 6.891, 6.891, 6.891 Å; angles 90.00, 90.00, 90.00 degrees
Space group F-43m (No. 216)
Inequivalent atoms, fractional coordinates:
Li 0.000 0.000 0.000 [4 per cell]
Y 0.250 0.250 0.250 [4 per cell]
Mg 0.250 0.250 0.750 [4 per cell]

The calculation puts the formation energy at 324 meV/atom. As for the density: 2.44 g cm⁻³. The energy above the most stable polymorph in this dataset comes out at 0.363 eV per atom. As for the electronic total energy: -3.000 eV per atom.